No. 1
# RePt2Br | the Alexandria database | PBE-GGA | relaxed
# formation energy without anion corrections = 862 meV per atom
# crystal system = cubic
# polymorph energy (0 for the lowest one) = 2.541 eV/f.u.
# N(E_F) = 1.109 states/eV per atom
data_RePt2Br
_chemical_formula_sum 'Re4 Pt8 Br4'
_symmetry_space_group_name_H-M 'F -4 3 m'
_symmetry_Int_Tables_number 216
_symmetry_space_group_name_Hall 'F -4 2 3'
_cell_length_a 6.407
_cell_length_b 6.407
_cell_length_c 6.407
_cell_angle_alpha 90.00
_cell_angle_beta 90.00
_cell_angle_gamma 90.00
loop_
_atom_site_label
_atom_site_type_symbol
_atom_site_fract_x
_atom_site_fract_y
_atom_site_fract_z
Re1 Re 0.000 0.000 0.000
Pt1 Pt 0.000 0.000 0.500
Pt2 Pt 0.250 0.250 0.750
Br1 Br 0.250 0.250 0.250



No. 2
# RbTi3P | the Alexandria database | PBE-GGA | relaxed
# crystal system = cubic
# ΔH_f (0 K) = 10.89 kcal/mol of atoms
# polymorph energy (0 for the lowest one) = 0.000 eV/f.u.
# N(E_F) = 1.748 states/eV per atom
data_RbTi3P
_chemical_formula_sum 'Rb1 Ti3 P1'
_symmetry_space_group_name_H-M 'P m -3 m'
_symmetry_Int_Tables_number 221
_symmetry_space_group_name_Hall '-P 4 2 3'
_cell_length_a 4.822
_cell_length_b 4.822
_cell_length_c 4.822
_cell_angle_alpha 90.00
_cell_angle_beta 90.00
_cell_angle_gamma 90.00
loop_
_atom_site_label
_atom_site_type_symbol
_atom_site_fract_x
_atom_site_fract_y
_atom_site_fract_z
Rb1 Rb 0.000 0.000 0.000
Ti1 Ti 0.000 0.500 0.500
P1 P 0.500 0.500 0.500



No. 3
# Dy8RuAu2 | the Alexandria database | PBE-GGA | relaxed
# crystal system = monoclinic
# ΔH_f (0 K) = -9.66 kcal/mol of atoms
# N(E_F) = 0.893 states/eV per atom
data_Dy8RuAu2
_chemical_formula_sum 'Dy16 Ru2 Au4'
_symmetry_space_group_name_H-M 'C 1 2/m 1'
_symmetry_Int_Tables_number 12
_symmetry_space_group_name_Hall '-C 2y'
_cell_length_a 17.340
_cell_length_b 5.139
_cell_length_c 6.821
_cell_angle_alpha 90.00
_cell_angle_beta 106.90
_cell_angle_gamma 90.00
loop_
_atom_site_label
_atom_site_type_symbol
_atom_site_fract_x
_atom_site_fract_y
_atom_site_fract_z
Dy1 Dy 0.029 0.000 0.293
Dy2 Dy 0.090 0.500 0.935
Dy3 Dy 0.161 0.500 0.467
Dy4 Dy 0.200 0.000 0.809
Ru1 Ru 0.000 0.500 0.500
Au1 Au 0.186 0.000 0.216



No. 4
# Ba2CrAg | the Alexandria database | PBE-GGA | relaxed
# crystal system = cubic
# ΔH_f (0 K) = 9.96 kcal/mol of atoms
# polymorph energy (0 for the lowest one) = 0.795 eV/f.u.
# N(E_F) = 1.042 states/eV per atom
data_Ba2CrAg
_chemical_formula_sum 'Ba8 Cr4 Ag4'
_symmetry_space_group_name_H-M 'F -4 3 m'
_symmetry_Int_Tables_number 216
_symmetry_space_group_name_Hall 'F -4 2 3'
_cell_length_a 7.958
_cell_length_b 7.958
_cell_length_c 7.958
_cell_angle_alpha 90.00
_cell_angle_beta 90.00
_cell_angle_gamma 90.00
loop_
_atom_site_label
_atom_site_type_symbol
_atom_site_fract_x
_atom_site_fract_y
_atom_site_fract_z
Ba1 Ba 0.000 0.000 0.000
Ba2 Ba 0.250 0.250 0.250
Cr1 Cr 0.250 0.250 0.750
Ag1 Ag 0.000 0.000 0.500